1.
DFT (PBE) results for crystalline Mg2TiV3S8 at its relaxed geometry.

Values from the calculation:
Uncorrected formation energy: -1.08 eV per atom

Cell: 7.3251 7.3251 17.5196 Å, 90.00 90.00 120.00°
Space group R-3m (No. 166, hexagonal axes)
Unique sites:
1 Mg 0.0000 0.0000 0.1253 (multiplicity 6)
2 Ti 0.0000 0.0000 0.5000 (multiplicity 3)
3 V 0.0000 0.5000 0.0000 (multiplicity 9)
4 S 0.0000 0.0000 0.2624 (multiplicity 6)
5 S 0.0272 0.5136 0.2540 (multiplicity 18)


2.
DFT (PBE) results for crystalline Pm2Pr5NdEr at its relaxed geometry.

Values from the calculation:
Total DFT energy (no corrections): -4.471 eV/atom

Cell: 8.961 8.961 15.958 Å, 90.00 90.00 90.00°
Space group I4/mcm (No. 140)
Unique sites:
1 Pm 0.116 0.384 0.000 (multiplicity 8)
2 Pr 0.000 0.000 0.000 (multiplicity 4)
3 Pr 0.210 0.290 0.361 (multiplicity 16)
4 Nd 0.000 0.000 0.250 (multiplicity 4)
5 Er 0.000 0.500 0.250 (multiplicity 4)